Below is a crystal of Os2WAu relaxed with PBEsol, with properties calculated at the SCAN level.

Results
Calculated total energy   -5.172 Ry per atom
Crystal system   tetragonal
Symmetry   P4mm
D(E_F)   0.57 states/eV per atom
DFT formation energy   1.13 eV per formula unit

Lattice parameters (Å, degrees): 2.751 2.751 7.986 90.00 90.00 90.00
Fractional coordinates of all 4 atoms:
Au1 0.500 0.500 0.751
Os1 0.500 0.500 0.234
Os2 0.000 0.000 0.020
W1 0.000 0.000 0.495

=====

Below is a crystal of Os3WAu relaxed with PBEsol, with properties calculated at the SCAN level.

Results
Calculated total energy   -4.958 Ry per atom
Crystal system   cubic
Symmetry   Pm-3m
D(E_F)   0.88 states/eV per atom
DFT formation energy   17.21 eV per formula unit

Lattice parameters (Å, degrees): 4.651 4.651 4.651 90.00 90.00 90.00
Fractional coordinates of all 5 atoms:
Os1 0.500 0.000 0.000
Os2 0.000 0.000 0.500
Os3 0.000 0.500 0.000
Au1 0.000 0.000 0.000
W1 0.500 0.500 0.500

=====

Below is a crystal of Os3WAu relaxed with PBEsol, with properties calculated at the SCAN level.

Results
Calculated total energy   -5.034 Ry per atom
Crystal system   cubic
Symmetry   Pm-3m
D(E_F)   0.96 states/eV per atom
DFT formation energy   12.02 eV per formula unit

Lattice parameters (Å, degrees): 4.654 4.654 4.654 90.00 90.00 90.00
Fractional coordinates of all 5 atoms:
W1 0.000 0.000 0.000
Os1 0.000 0.500 0.000
Os2 0.000 0.000 0.500
Os3 0.500 0.000 0.000
Au1 0.500 0.500 0.500

=====

Below is a crystal of OsWAu relaxed with PBEsol, with properties calculated at the SCAN level.

Results
Calculated total energy   -5.142 Ry per atom
Crystal system   orthorhombic
Symmetry   Imm2
D(E_F)   0.61 states/eV per atom
DFT formation energy   0.83 eV per formula unit

Lattice parameters (Å, degrees): 2.808 3.902 4.826 113.85 106.91 90.00
Fractional coordinates of all 3 atoms:
Os1 0.673 0.673 0.345
Au1 0.001 0.001 0.001
W1 0.327 0.327 0.653

=====

Below is a crystal of OsWAu2 relaxed with PBEsol, with properties calculated at the SCAN level.

Results
Calculated total energy   -5.120 Ry per atom
Crystal system   orthorhombic
Symmetry   Pmm2
D(E_F)   0.62 states/eV per atom
DFT formation energy   1.23 eV per formula unit

Lattice parameters (Å, degrees): 2.855 3.862 5.718 90.00 90.00 90.00
Fractional coordinates of all 4 atoms:
Au1 0.500 0.500 0.250
Au2 0.000 0.000 0.000
Os1 0.000 0.000 0.522
W1 0.500 0.500 0.728

=====

Below is a crystal of Os2WAu relaxed with PBEsol, with properties calculated at the SCAN level.

Results
Calculated total energy   -5.169 Ry per atom
Crystal system   trigonal
Symmetry   R3m
D(E_F)   0.80 states/eV per atom
DFT formation energy   1.32 eV per formula unit

Lattice parameters (Å, degrees): 2.755 2.755 9.309 81.49 81.49 60.00
Fractional coordinates of all 4 atoms:
Os1 0.004 0.004 0.987
Os2 0.748 0.748 0.755
Au1 0.251 0.251 0.248
W1 0.497 0.497 0.510

=====

Below is a crystal of OsWAu relaxed with PBEsol, with properties calculated at the SCAN level.

Results
Calculated total energy   -5.127 Ry per atom
Crystal system   orthorhombic
Symmetry   Fmm2
D(E_F)   0.83 states/eV per atom
DFT formation energy   1.47 eV per formula unit

Lattice parameters (Å, degrees): 2.708 2.708 7.285 96.14 96.14 115.09
Fractional coordinates of all 3 atoms:
Au1 0.001 0.001 0.002
W1 0.674 0.674 0.348
Os1 0.325 0.325 0.650

=====

Below is a crystal of OsWAu2 relaxed with PBEsol, with properties calculated at the SCAN level.

Results
Calculated total energy   -5.093 Ry per atom
Crystal system   cubic
Symmetry   F-43m
D(E_F)   0.87 states/eV per atom
DFT formation energy   2.71 eV per formula unit

Lattice parameters (Å, degrees): 4.483 4.483 4.483 60.00 60.00 60.00
Fractional coordinates of all 4 atoms:
Au1 0.750 0.750 0.750
Au2 0.000 0.000 0.000
Os1 0.500 0.500 0.500
W1 0.250 0.250 0.250